No. 1
This record from the Alexandria database describes a relaxed Dy4TmZn crystal. The functional is GGA-PBE.

- E_form (meV/atom) = 5
- energy (eV/atom) = -4.021
- energy above the lowest structure with this stoichiometry (eV per formula unit) = 0.62

Structure (CIF):
```
data_Dy4TmZn
_chemical_formula_sum 'Dy16 Tm4 Zn4'
_cell_length_a 8.736
_cell_length_b 13.489
_cell_length_c 6.193
_cell_angle_alpha 90.00
_cell_angle_beta 108.60
_cell_angle_gamma 90.00
_space_group_name_H-M_alt 'C 1 2/c 1'
_space_group_IT_number 15
loop_
_space_group_symop_operation_xyz
'x,y,z'
'-x,-y,-z'
'-x,y,-z+1/2'
'x,-y,z+1/2'
'x+1/2,y+1/2,z'
'-x+1/2,-y+1/2,-z'
'-x+1/2,y+1/2,-z+1/2'
'x+1/2,-y+1/2,z+1/2'
loop_
_atom_site_label
_atom_site_type_symbol
_atom_site_fract_x
_atom_site_fract_y
_atom_site_fract_z
Dy1 Dy 0.103 0.183 0.048
Dy2 Dy 0.222 0.386 0.376
Tm1 Tm 0.000 0.405 0.750
Zn1 Zn 0.000 0.000 0.250
```

=====

No. 2
This record from the Alexandria database describes a relaxed MnH5Pd4 crystal. The functional is GGA-PBE.

- energy (eV/atom) = -4.593

Structure (CIF):
```
data_MnH5Pd4
_chemical_formula_sum 'Mn2 H10 Pd8'
_cell_length_a 5.535
_cell_length_b 7.538
_cell_length_c 4.594
_cell_angle_alpha 90.00
_cell_angle_beta 90.00
_cell_angle_gamma 90.00
_space_group_name_H-M_alt 'P m m n'
_space_group_IT_number 59
loop_
_space_group_symop_operation_xyz
'x,y,z'
'-x,-y,-z'
'-x+1/2,-y+1/2,z'
'x+1/2,y+1/2,-z'
'x+1/2,-y,-z'
'-x+1/2,y,z'
'-x,y+1/2,-z'
'x,-y+1/2,z'
loop_
_atom_site_label
_atom_site_type_symbol
_atom_site_fract_x
_atom_site_fract_y
_atom_site_fract_z
Mn1 Mn 0.250 0.250 0.124
H1 H 0.026 0.080 0.315
H2 H 0.250 0.750 0.612
Pd1 Pd 0.005 0.250 0.613
Pd2 Pd 0.250 0.558 0.885
```

=====

No. 3
This record from the Alexandria database describes a relaxed Pu2Hg2Au15 crystal. The functional is GGA-PBE.

- E_form (meV/atom) = -139
- energy (eV/atom) = -4.267

Structure (CIF):
```
data_Pu2Hg2Au15
_chemical_formula_sum 'Pu6 Hg6 Au45'
_cell_length_a 9.7506
_cell_length_b 9.7506
_cell_length_c 14.2802
_cell_angle_alpha 90.00
_cell_angle_beta 90.00
_cell_angle_gamma 120.00
_space_group_name_H-M_alt 'R -3 m'
_space_group_IT_number 166
_space_group_name_Hall '-R 3 2"'
loop_
_atom_site_label
_atom_site_type_symbol
_atom_site_fract_x
_atom_site_fract_y
_atom_site_fract_z
Pu1 Pu 0.0000 0.0000 0.1479
Hg1 Hg 0.0000 0.0000 0.3954
Au1 Au 0.0000 0.3166 0.5000
Au2 Au 0.0000 0.5000 0.0000
Au3 Au 0.0110 0.5055 0.6556
```

=====

No. 4
This record from the Alexandria database describes a relaxed SrHgMo2 crystal. The functional is GGA-PBE.

- E_form (meV/atom) = 774
- energy (eV/atom) = -5.137

Structure (CIF):
```
data_SrHgMo2
_chemical_formula_sum 'Sr1 Hg1 Mo2'
_cell_length_a 3.753
_cell_length_b 3.753
_cell_length_c 6.956
_cell_angle_alpha 90.00
_cell_angle_beta 90.00
_cell_angle_gamma 90.00
_space_group_name_H-M_alt 'P 4/m m m'
_space_group_IT_number 123
_space_group_name_Hall '-P 4 2'
loop_
_atom_site_label
_atom_site_type_symbol
_atom_site_fract_x
_atom_site_fract_y
_atom_site_fract_z
Sr1 Sr 0.000 0.000 0.000
Hg1 Hg 0.000 0.000 0.500
Mo1 Mo 0.500 0.500 0.342
```

=====

No. 5
This record from the Alexandria database describes a relaxed NbAl2InF crystal. The functional is GGA-PBE.

- energy (eV/atom) = -4.535
- formation energy (no corrections) (meV/atom) = -102

Structure (CIF):
```
data_NbAl2InF
_chemical_formula_sum 'Nb1 Al2 In1 F1'
_cell_length_a 4.359
_cell_length_b 4.359
_cell_length_c 4.559
_cell_angle_alpha 90.00
_cell_angle_beta 90.00
_cell_angle_gamma 90.00
_space_group_name_H-M_alt 'P 4/m m m'
_space_group_IT_number 123
_space_group_name_Hall '-P 4 2'
loop_
_atom_site_label
_atom_site_type_symbol
_atom_site_fract_x
_atom_site_fract_y
_atom_site_fract_z
Nb1 Nb 0.000 0.000 0.000
Al1 Al 0.000 0.500 0.500
In1 In 0.500 0.500 0.000
F1 F 0.000 0.000 0.500
```

=====

No. 6
This record from the Alexandria database describes a relaxed Tl2ReBiO6 crystal. The functional is GGA-PBE.

- energy (eV/atom) = -6.190
- formation energy (no corrections) (meV/atom) = -1109

Structure (CIF):
```
data_Tl2ReBiO6
_chemical_formula_sum 'Tl2 Re1 Bi1 O6'
_cell_length_a 6.5678
_cell_length_b 6.5678
_cell_length_c 6.0089
_cell_angle_alpha 90.00
_cell_angle_beta 90.00
_cell_angle_gamma 120.00
_space_group_name_H-M_alt 'P -3 m 1'
_space_group_IT_number 164
_space_group_name_Hall '-P 3 2"'
loop_
_atom_site_label
_atom_site_type_symbol
_atom_site_fract_x
_atom_site_fract_y
_atom_site_fract_z
Tl1 Tl 0.3333 0.6667 0.4712
Re1 Re 0.0000 0.0000 0.5000
Bi1 Bi 0.0000 0.0000 0.0000
O1 O 0.1342 0.2684 0.6935
```

=====

No. 7
This record from the Alexandria database describes a relaxed YCd2Ru crystal. The functional is GGA-PBE.

- E_form (meV/atom) = -12
- energy (eV/atom) = -4.405

Structure (CIF):
```
data_YCd2Ru
_chemical_formula_sum 'Y4 Cd8 Ru4'
_cell_length_a 6.912
_cell_length_b 6.912
_cell_length_c 6.912
_cell_angle_alpha 90.00
_cell_angle_beta 90.00
_cell_angle_gamma 90.00
_space_group_name_H-M_alt 'F -4 3 m'
_space_group_IT_number 216
_space_group_name_Hall 'F -4 2 3'
loop_
_atom_site_label
_atom_site_type_symbol
_atom_site_fract_x
_atom_site_fract_y
_atom_site_fract_z
Y1 Y 0.000 0.000 0.000
Cd1 Cd 0.000 0.000 0.500
Cd2 Cd 0.250 0.250 0.250
Ru1 Ru 0.250 0.250 0.750
```

=====

No. 8
This record from the Alexandria database describes a relaxed TbInSb crystal. The functional is GGA-PBE.

- energy (eV/atom) = -4.466
- formation energy (no corrections) (meV/atom) = -636

Structure (CIF):
```
data_TbInSb
_chemical_formula_sum 'Tb4 In4 Sb4'
_cell_length_a 6.201
_cell_length_b 6.201
_cell_length_c 9.205
_cell_angle_alpha 90.00
_cell_angle_beta 90.07
_cell_angle_gamma 90.00
_space_group_name_H-M_alt 'C 1 2/m 1'
_space_group_IT_number 12
loop_
_space_group_symop_operation_xyz
'x,y,z'
'-x,-y,-z'
'-x,y,-z'
'x,-y,z'
'x+1/2,y+1/2,z'
'-x+1/2,-y+1/2,-z'
'-x+1/2,y+1/2,-z'
'x+1/2,-y+1/2,z'
loop_
_atom_site_label
_atom_site_type_symbol
_atom_site_fract_x
_atom_site_fract_y
_atom_site_fract_z
Tb1 Tb 0.249 0.000 0.316
In1 In 0.250 0.000 0.968
Sb1 Sb 0.249 0.500 0.344
```

=====

No. 9
This record from the Alexandria database describes a relaxed Li5Pa2Zn12 crystal. The functional is GGA-PBE.

- E_form (meV/atom) = -124
- energy (eV/atom) = -2.432

Structure (CIF):
```
data_Li5Pa2Zn12
_chemical_formula_sum 'Li15 Pa6 Zn36'
_cell_length_a 8.9478
_cell_length_b 8.9478
_cell_length_c 13.1190
_cell_angle_alpha 90.00
_cell_angle_beta 90.00
_cell_angle_gamma 120.00
_space_group_name_H-M_alt 'R -3 m'
_space_group_IT_number 166
_space_group_name_Hall '-R 3 2"'
loop_
_atom_site_label
_atom_site_type_symbol
_atom_site_fract_x
_atom_site_fract_y
_atom_site_fract_z
Li1 Li 0.0000 0.0000 0.0992
Li2 Li 0.0000 0.5000 0.5000
Pa1 Pa 0.0000 0.0000 0.3530
Zn1 Zn 0.0000 0.2965 0.0000
Zn2 Zn 0.0013 0.5006 0.1518
```

=====

No. 10
This record from the Alexandria database describes a relaxed LiDyCdSn crystal. The functional is GGA-PBE.

- E_form (meV/atom) = -443
- energy (eV/atom) = -3.302
- energy above the lowest structure with this stoichiometry (eV per formula unit) = 0.01

Structure (CIF):
```
data_LiDyCdSn
_chemical_formula_sum 'Li4 Dy4 Cd4 Sn4'
_cell_length_a 7.219
_cell_length_b 7.219
_cell_length_c 7.219
_cell_angle_alpha 90.00
_cell_angle_beta 90.00
_cell_angle_gamma 90.00
_space_group_name_H-M_alt 'F -4 3 m'
_space_group_IT_number 216
_space_group_name_Hall 'F -4 2 3'
loop_
_atom_site_label
_atom_site_type_symbol
_atom_site_fract_x
_atom_site_fract_y
_atom_site_fract_z
Li1 Li 0.000 0.000 0.000
Dy1 Dy 0.000 0.000 0.500
Cd1 Cd 0.250 0.250 0.750
Sn1 Sn 0.250 0.250 0.250
```

=====

No. 11
This record from the Alexandria database describes a relaxed Cs3NaU3Te8 crystal. The functional is GGA-PBE.

- energy (eV/atom) = -5.040
- formation energy (no corrections) (meV/atom) = -849

Structure (CIF):
```
data_Cs3NaU3Te8
_chemical_formula_sum 'Cs9 Na3 U9 Te24'
_cell_length_a 9.0895
_cell_length_b 9.0895
_cell_length_c 26.8864
_cell_angle_alpha 90.00
_cell_angle_beta 90.00
_cell_angle_gamma 120.00
_space_group_name_H-M_alt 'R -3 m'
_space_group_IT_number 166
_space_group_name_Hall '-R 3 2"'
loop_
_atom_site_label
_atom_site_type_symbol
_atom_site_fract_x
_atom_site_fract_y
_atom_site_fract_z
Cs1 Cs 0.0000 0.5000 0.0000
Na1 Na 0.0000 0.0000 0.5000
U1 U 0.0000 0.5000 0.5000
Te1 Te 0.0000 0.0000 0.2301
Te2 Te 0.0236 0.5118 0.7704
```

=====

No. 12
This record from the Alexandria database describes a relaxed PuInNi crystal. The functional is GGA-PBE.

- E_form (meV/atom) = -55
- energy (eV/atom) = -7.672

Structure (CIF):
```
data_PuInNi
_chemical_formula_sum 'Pu4 In4 Ni4'
_cell_length_a 6.505
_cell_length_b 6.505
_cell_length_c 6.505
_cell_angle_alpha 90.00
_cell_angle_beta 90.00
_cell_angle_gamma 90.00
_space_group_name_H-M_alt 'F -4 3 m'
_space_group_IT_number 216
_space_group_name_Hall 'F -4 2 3'
loop_
_atom_site_label
_atom_site_type_symbol
_atom_site_fract_x
_atom_site_fract_y
_atom_site_fract_z
Pu1 Pu 0.000 0.000 0.000
In1 In 0.000 0.000 0.500
Ni1 Ni 0.250 0.250 0.750
```

=====

Question: The lowest energy belongs to which entry?
Answer: PuInNi